# 1
# CaLa2Tc2

A relaxed CaLa2Tc2 crystal (PBE-GGA, the Alexandria database).

Lattice parameters (Å, degrees): 8.2377 8.2377 4.0660 90.00 90.00 90.00
With the nearest neighbours (Å) after each atom.
Fractional positions:
Ca1 0.0000 0.0000 0.0000  4 Tc 3.41, 8 La 3.65
Ca2 0.5000 0.5000 0.0000  4 Tc 3.41, 8 La 3.65
La1 0.1763 0.3237 0.5000  6 Tc 3.11-3.33
La2 0.3237 0.8237 0.5000  6 Tc 3.11-3.33
La3 0.6763 0.1763 0.5000  6 Tc 3.11-3.33
La4 0.8237 0.6763 0.5000  6 Tc 3.11-3.33
Tc1 0.0978 0.5978 0.0000  1 Tc 2.28
Tc2 0.4022 0.0978 0.0000  1 Tc 2.28
Tc3 0.5978 0.9022 0.0000  1 Tc 2.28
Tc4 0.9022 0.4022 0.0000  1 Tc 2.28

Calculated values
Its symmetry is P4/mbm, No. 127. The calculation puts the density of states at the Fermi level at 1.758 states/eV/atom. The value obtained for the energy above the most stable polymorph in this dataset is 0.00 eV/f.u. For the formation energy, the calculation gives 26 kJ per mole of atoms. The calculation puts the calculated total energy at -6.25 eV/atom. The total magnetization comes out at 0.00 μB per cell.

# 2
# Ca2LaTc

A relaxed Ca2LaTc crystal (PBE-GGA, the Alexandria database).

Lattice parameters (Å, degrees): 6.4691 6.4691 3.5079 101.36 101.36 123.73
With the nearest neighbours (Å) after each atom.
Fractional positions:
Ca1 0.0000 0.5000 0.0000  2 Ca 3.05, 2 La 3.36, 2 Tc 3.36
Ca2 0.5000 0.0000 0.0000  2 Ca 3.05, 2 La 3.36, 2 Tc 3.36
La1 0.0000 0.0000 0.5000  2 Tc 3.05, 4 Ca 3.36
Tc1 0.5000 0.5000 0.5000  2 La 3.05, 4 Ca 3.36

Calculated values
Its symmetry is C2/m, No. 12. The calculation puts the density of states at the Fermi level at 1.221 states/eV/atom. The value obtained for the energy above the most stable polymorph in this dataset is 1.56 eV/f.u. For the formation energy, the calculation gives 59 kJ per mole of atoms. The calculation puts the calculated total energy at -4.21 eV/atom. The total magnetization comes out at 0.89 μB per cell.

# 3
# Ca2LaTc

A relaxed Ca2LaTc crystal (PBE-GGA, the Alexandria database).

Lattice parameters (Å, degrees): 5.3297 5.3297 5.3297 60.00 60.00 60.00
With the nearest neighbours (Å) after each atom.
Fractional positions:
Ca1 0.2500 0.2500 0.2500  4 Tc 3.26, 4 La 3.26
Ca2 0.7500 0.7500 0.7500  4 Tc 3.26, 4 La 3.26
La1 0.0000 0.0000 0.0000  8 Ca 3.26
Tc1 0.5000 0.5000 0.5000  8 Ca 3.26

Calculated values
Its symmetry is Fm-3m, No. 225. The calculation puts the density of states at the Fermi level at 1.212 states/eV/atom. The value obtained for the energy above the most stable polymorph in this dataset is 1.46 eV/f.u. For the formation energy, the calculation gives 57 kJ per mole of atoms. The calculation puts the calculated total energy at -4.24 eV/atom. The total magnetization comes out at 0.00 μB per cell.

# 4
# CaLaTc

A relaxed CaLaTc crystal (PBE-GGA, the Alexandria database).

Lattice parameters (Å, degrees): 7.0362 7.0362 7.0362 150.66 150.66 41.97
With the nearest neighbours (Å) after each atom.
Fractional positions:
Ca1 0.0000 0.0000 0.0000  4 Tc 3.14, 1 La 3.34
La1 0.7458 0.7458 0.0000  4 Tc 2.92
Tc1 0.3576 0.3576 0.0000  4 La 2.92, 4 Ca 3.14

Calculated values
Its symmetry is I4mm, No. 107. The calculation puts the density of states at the Fermi level at 1.194 states/eV/atom. The value obtained for the energy above the most stable polymorph in this dataset is 0.56 eV/f.u. For the formation energy, the calculation gives 28 kJ per mole of atoms. The calculation puts the calculated total energy at -5.48 eV/atom. The total magnetization comes out at 0.00 μB per cell.

# 5
# Ca2LaTc

A relaxed Ca2LaTc crystal (PBE-GGA, the Alexandria database).

Lattice parameters (Å, degrees): 5.9828 5.9828 5.9828 134.20 134.20 66.78
With the nearest neighbours (Å) after each atom.
Fractional positions:
Ca1 0.2500 0.7500 0.5000  4 Ca 3.29, 4 Tc 3.41, 4 La 3.41
Ca2 0.7500 0.2500 0.5000  4 Ca 3.29, 4 Tc 3.41, 4 La 3.41
La1 0.0000 0.0000 0.0000  4 Tc 3.29, 8 Ca 3.41
Tc1 0.5000 0.5000 0.0000  4 La 3.29, 8 Ca 3.41

Calculated values
Its symmetry is I4/mmm, No. 139. The calculation puts the density of states at the Fermi level at 0.908 states/eV/atom. The value obtained for the energy above the most stable polymorph in this dataset is 1.05 eV/f.u. For the formation energy, the calculation gives 47 kJ per mole of atoms. The calculation puts the calculated total energy at -4.34 eV/atom. The total magnetization comes out at 0.00 μB per cell.

# 6
# Ca2LaTc

A relaxed Ca2LaTc crystal (PBE-GGA, the Alexandria database).

Lattice parameters (Å, degrees): 7.7646 7.7646 7.7646 121.35 121.35 87.68
With the nearest neighbours (Å) after each atom.
Fractional positions:
Ca1 0.0000 0.0000 0.0000  2 Tc 2.36
Ca2 0.0000 0.0000 0.5000  2 Tc 2.36
Ca3 0.0000 0.5000 0.0000  2 Tc 2.36
Ca4 0.5000 0.0000 0.5000  2 Tc 2.36
La1 0.3750 0.6250 0.7500  12 Ca 4.48-4.61, 4 Tc 4.72, 4 La 4.72
La2 0.6250 0.3750 0.2500  12 Ca 4.48-4.61, 4 La 4.72, 4 Tc 4.72
Tc1 0.1250 0.8750 0.2500  4 Ca 2.36
Tc2 0.8750 0.1250 0.7500  4 Ca 2.36

Calculated values
Its symmetry is I4_1/amd, No. 141. The calculation puts the density of states at the Fermi level at 0.440 states/eV/atom. The value obtained for the energy above the most stable polymorph in this dataset is 4.30 eV/f.u. For the formation energy, the calculation gives 125 kJ per mole of atoms. The calculation puts the calculated total energy at -3.53 eV/atom. The total magnetization comes out at 0.01 μB per cell.

# 7
# CaLaTc

A relaxed CaLaTc crystal (PBE-GGA, the Alexandria database).

Lattice parameters (Å, degrees): 4.8943 4.8943 4.8943 60.00 60.00 60.00
With the nearest neighbours (Å) after each atom.
Fractional positions:
Ca1 0.0000 0.0000 0.0000  4 Tc 3.00
La1 0.5000 0.5000 0.5000  4 Tc 3.00
Tc1 0.7500 0.7500 0.7500  4 La 3.00, 4 Ca 3.00

Calculated values
Its symmetry is F-43m, No. 216. The calculation puts the density of states at the Fermi level at 0.595 states/eV/atom. The value obtained for the energy above the most stable polymorph in this dataset is 1.09 eV/f.u. For the formation energy, the calculation gives 45 kJ per mole of atoms. The calculation puts the calculated total energy at -5.30 eV/atom. The total magnetization comes out at 0.00 μB per cell.

# 8
# Ca2LaTc

A relaxed Ca2LaTc crystal (PBE-GGA, the Alexandria database).

Lattice parameters (Å, degrees): 8.5897 8.5897 8.5897 156.82 148.82 39.21
With the nearest neighbours (Å) after each atom.
Fractional positions:
Ca1 0.1636 0.1636 0.0000  2 Tc 3.16, 2 Ca 3.45, 2 La 3.51
Ca2 0.8364 0.8364 0.0000  2 Tc 3.16, 2 Ca 3.45, 2 La 3.51
La1 0.5000 0.0000 0.5000  4 Tc 2.88
Tc1 0.0000 0.5000 0.5000  4 La 2.88, 4 Ca 3.16

Calculated values
Its symmetry is Immm, No. 71. The calculation puts the density of states at the Fermi level at 1.427 states/eV/atom. The value obtained for the energy above the most stable polymorph in this dataset is 0.24 eV/f.u. For the formation energy, the calculation gives 27 kJ per mole of atoms. The calculation puts the calculated total energy at -4.54 eV/atom. The total magnetization comes out at 0.00 μB per cell.

# 9
# Ca2La6Tc

A relaxed Ca2La6Tc crystal (PBE-GGA, the Alexandria database).

Lattice parameters (Å, degrees): 9.6801 3.7818 9.7262 90.00 109.59 90.00
With the nearest neighbours (Å) after each atom.
Fractional positions:
Ca1 0.2116 0.0000 0.3619  9 La 3.71-3.98, 2 Ca 3.78
Ca2 0.7884 0.0000 0.6381  9 La 3.71-3.98, 2 Ca 3.78
La1 0.1248 0.5000 0.6607  4 La 3.17-3.53
La2 0.2531 0.0000 0.9857  2 Tc 3.01
La3 0.4670 0.5000 0.7158  1 Tc 2.67
La4 0.5330 0.5000 0.2842  1 Tc 2.67
La5 0.7469 0.0000 0.0143  2 Tc 3.01
La6 0.8752 0.5000 0.3393  4 La 3.17-3.53
Tc1 0.5000 0.5000 0.0000  2 La 2.67

Calculated values
Its symmetry is P2/m, No. 10. The calculation puts the density of states at the Fermi level at 1.329 states/eV/atom. For the formation energy, the calculation gives 15 kJ per mole of atoms. The calculation puts the calculated total energy at -4.72 eV/atom. The total magnetization comes out at 0.00 μB per cell.

# 10
# CaLa2Tc2

A relaxed CaLa2Tc2 crystal (PBE-GGA, the Alexandria database).

Lattice parameters (Å, degrees): 6.5593 6.5593 6.5593 137.08 137.08 62.32
With the nearest neighbours (Å) after each atom.
Fractional positions:
Ca1 0.0000 0.0000 0.0000  8 Tc 3.61, 8 La 3.69
La1 0.2500 0.7500 0.5000  4 Tc 2.87
La2 0.7500 0.2500 0.5000  4 Tc 2.87
Tc1 0.3906 0.3906 0.0000  1 Tc 2.46
Tc2 0.6094 0.6094 0.0000  1 Tc 2.46

Calculated values
Its symmetry is I4/mmm, No. 139. The calculation puts the density of states at the Fermi level at 1.292 states/eV/atom. The value obtained for the energy above the most stable polymorph in this dataset is 0.82 eV/f.u. For the formation energy, the calculation gives 42 kJ per mole of atoms. The calculation puts the calculated total energy at -6.09 eV/atom. The total magnetization comes out at 0.00 μB per cell.

# 11
# CaLaTc

A relaxed CaLaTc crystal (PBE-GGA, the Alexandria database).

Lattice parameters (Å, degrees): 7.9735 7.9735 6.0922 98.34 98.34 29.79
With the nearest neighbours (Å) after each atom.
Fractional positions:
Ca1 0.0815 0.0815 0.2888  1 Tc 2.91
Ca2 0.9185 0.9185 0.7112  1 Tc 2.91
La1 0.3402 0.3402 0.1650  3 Tc 2.91-3.23
La2 0.6598 0.6598 0.8350  3 Tc 2.91-3.23
Tc1 0.2443 0.2443 0.6016  2 Tc 2.41
Tc2 0.7557 0.7557 0.3984  2 Tc 2.41

Calculated values
Its symmetry is C2/m, No. 12. The calculation puts the density of states at the Fermi level at 1.245 states/eV/atom. The value obtained for the energy above the most stable polymorph in this dataset is 0.00 eV/f.u. For the formation energy, the calculation gives 10 kJ per mole of atoms. The calculation puts the calculated total energy at -5.66 eV/atom. The total magnetization comes out at 0.00 μB per cell.

# 12
# CaLaTc

A relaxed CaLaTc crystal (PBE-GGA, the Alexandria database).

Lattice parameters (Å, degrees): 4.8223 4.8223 4.8223 60.00 60.00 60.00
With the nearest neighbours (Å) after each atom.
Fractional positions:
Ca1 0.0000 0.0000 0.0000  4 La 2.95
La1 0.2500 0.2500 0.2500  4 Tc 2.95, 4 Ca 2.95
Tc1 0.5000 0.5000 0.5000  4 La 2.95

Calculated values
Its symmetry is F-43m, No. 216. The calculation puts the density of states at the Fermi level at 1.224 states/eV/atom. The value obtained for the energy above the most stable polymorph in this dataset is 2.90 eV/f.u. For the formation energy, the calculation gives 103 kJ per mole of atoms. The calculation puts the calculated total energy at -4.70 eV/atom. The total magnetization comes out at 0.00 μB per cell.

- Among the records above, which one has the highest total magnetization?
  number 2

- total magnetization of number 10 (CaLa2Tc2)?
  0.00 μB per cell

- Number 5 is which compound?
  Ca2LaTc

- total magnetization of number 3 (Ca2LaTc)?
  0.00 μB per cell